InSi2Pb2: optimized geometry, GGA-PBE.

Lattice parameters (Å, degrees): 6.9271 6.9271 5.2504 90.00 90.00 90.00
Sites, in units of the cell vectors:
In1 0.5000 0.5000 0.0000
In2 0.0000 0.0000 0.0000
Pb1 0.8042 0.3042 0.5000
Pb2 0.6958 0.8042 0.5000
Pb3 0.3042 0.1958 0.5000
Pb4 0.1958 0.6958 0.5000
Si1 0.8804 0.6196 0.0000
Si2 0.3804 0.8804 0.0000
Si3 0.1196 0.3804 0.0000
Si4 0.6196 0.1196 0.0000

E_tot (eV per cell): -38.97
Crystal system: tetragonal
E_form (uncorrected) (meV per atom): 303
SG: P4/mbm
Magnetization (μB/f.u.): 0.00
Excess energy over the best structure of this formula in the dataset (meV per atom): 72
Fermi-level density of states (states/eV/cell): 4.42



Sm2DyTc: optimized geometry, GGA-PBE.

Lattice parameters (Å, degrees): 3.5112 3.5112 8.8815 90.00 90.00 90.00
Sites, in units of the cell vectors:
Sm1 0.0000 0.0000 0.8094
Sm2 0.0000 0.0000 0.1906
Tc1 0.5000 0.5000 0.0000
Dy1 0.5000 0.5000 0.5000

E_tot (eV per cell): -23.95
Crystal system: tetragonal
SG: P4/mmm
Magnetization (μB/f.u.): 0.00
ΔH_f (0 K) (eV per atom): 0.1150
Excess energy over the best structure of this formula in the dataset (meV per atom): 157
Fermi-level density of states (states/eV/cell): 5.91



Ti2TeI2: optimized geometry, GGA-PBE.

Lattice parameters (Å, degrees): 5.0010 5.0010 6.6432 67.89 67.89 90.00
Sites, in units of the cell vectors:
Te1 0.0000 0.0000 0.0000
Ti1 0.2500 0.7500 0.5000
Ti2 0.7500 0.2500 0.5000
I1 0.6484 0.6484 0.7032
I2 0.3516 0.3516 0.2968

E_tot (eV per cell): -21.85
Crystal system: tetragonal
E_form (uncorrected) (meV per atom): 37
SG: I4/mmm
Magnetization (μB/f.u.): 2.89
Fermi-level density of states (states/eV/cell): 9.97



Dy6Mg7: optimized geometry, GGA-PBE.

Lattice parameters (Å, degrees): 6.0039 6.0039 11.8227 75.29 75.29 60.00
Sites, in units of the cell vectors:
Dy1 0.5473 0.5473 0.3582
Dy2 0.1657 0.1657 0.5029
Dy3 0.6514 0.6514 0.0457
Dy4 0.3486 0.3486 0.9543
Dy5 0.4527 0.4527 0.6418
Dy6 0.8343 0.8343 0.4971
Mg1 0.0945 0.0945 0.2221
Mg2 0.4111 0.9055 0.7779
Mg3 0.5889 0.0945 0.2221
Mg4 0.0945 0.5889 0.2221
Mg5 0.0000 0.0000 0.0000
Mg6 0.9055 0.4111 0.7779
Mg7 0.9055 0.9055 0.7779

E_tot (eV per cell): -39.14
Crystal system: trigonal
SG: R-3m
Magnetization (μB/f.u.): 1.06
ΔH_f (0 K) (eV per atom): -0.0283
Fermi-level density of states (states/eV/cell): 16.18



ZrMn2Os: optimized geometry, GGA-PBE.

Lattice parameters (Å, degrees): 5.2254 5.2254 5.2254 146.01 130.86 61.10
Sites, in units of the cell vectors:
Zr1 0.2529 0.7529 0.5000
Mn1 0.9848 0.9848 0.0000
Mn2 0.7450 0.2450 0.5000
Os1 0.5173 0.5173 0.0000

E_tot (eV per cell): -37.88
Crystal system: orthorhombic
SG: Imm2
Magnetization (μB/f.u.): 3.54
ΔH_f (0 K) (eV per atom): 0.0588
Excess energy over the best structure of this formula in the dataset (meV per atom): 65
Fermi-level density of states (states/eV/cell): 3.83



ScMoIr2: optimized geometry, GGA-PBE.

Lattice parameters (Å, degrees): 2.8902 2.8902 7.6511 90.00 90.00 89.98
Sites, in units of the cell vectors:
Mo1 0.5000 0.5000 0.2500
Ir1 0.0000 0.0000 0.0140
Ir2 0.0000 0.0000 0.4860
Sc1 0.5000 0.5000 0.7500

E_tot (eV per cell): -36.96
Crystal system: tetragonal
SG: P4/mmm
Magnetization (μB/f.u.): 0.00
ΔH_f (0 K) (eV per atom): -0.5187
Excess energy over the best structure of this formula in the dataset (meV per atom): 0
Fermi-level density of states (states/eV/cell): 2.58



K3Zr3NiS8: optimized geometry, GGA-PBE.

Lattice parameters (Å, degrees): 7.4434 7.4467 8.6570 115.49 90.00 119.96
Sites, in units of the cell vectors:
Ni1 0.0000 0.0000 0.5000
S1 0.2260 0.9609 0.6869
S2 0.7351 0.9609 0.6868
S3 0.7330 0.4660 0.6994
S4 0.2670 0.5340 0.3006
S5 0.7745 0.5490 0.3132
S6 0.7740 0.0391 0.3131
S7 0.2255 0.4510 0.6868
S8 0.2649 0.0391 0.3132
K1 0.0000 0.0000 0.0000
K2 0.0000 0.5000 0.0000
K3 0.5000 0.5000 0.0000
Zr1 0.0000 0.5000 0.5000
Zr2 0.5000 0.5000 0.5000
Zr3 0.5000 0.0000 0.5000

E_tot (eV per cell): -87.26
Crystal system: monoclinic
E_form (uncorrected) (meV per atom): -1301
SG: C2/m
Magnetization (μB/f.u.): 1.80
Fermi-level density of states (states/eV/cell): 5.86



Rb3MgBi: optimized geometry, GGA-PBE.

Lattice parameters (Å, degrees): 7.2346 7.2346 7.2346 90.00 90.00 90.00
Sites, in units of the cell vectors:
Rb1 0.0000 0.5000 0.0000
Rb2 0.0000 0.0000 0.5000
Rb3 0.5000 0.0000 0.0000
Mg1 0.5000 0.5000 0.5000
Bi1 0.0000 0.0000 0.0000

E_tot (eV per cell): -8.02
Crystal system: cubic
SG: Pm-3m
Magnetization (μB/f.u.): 0.00
ΔH_f (0 K) (eV per atom): 0.0711
Excess energy over the best structure of this formula in the dataset (meV per atom): 136
Fermi-level density of states (states/eV/cell): 4.93



PuAl4Tc: optimized geometry, GGA-PBE.

Lattice parameters (Å, degrees): 4.1714 6.7184 7.7842 90.00 90.00 90.00
Sites, in units of the cell vectors:
Al1 0.5000 0.3088 0.5587
Al2 0.0000 0.0000 0.5000
Al3 0.0000 0.0000 0.0000
Al4 0.5000 0.9581 0.7500
Al5 0.5000 0.6912 0.0587
Al6 0.5000 0.6912 0.4413
Al7 0.5000 0.3088 0.9413
Al8 0.5000 0.0419 0.2500
Pu1 0.0000 0.3754 0.2500
Pu2 0.0000 0.6246 0.7500
Tc1 0.0000 0.7804 0.2500
Tc2 0.0000 0.2196 0.7500

E_tot (eV per cell): -83.40
Crystal system: orthorhombic
SG: Pmma
Magnetization (μB/f.u.): 5.12
ΔH_f (0 K) (eV per atom): -0.3390
Fermi-level density of states (states/eV/cell): 17.07



K6TlHg5: optimized geometry, GGA-PBE.

Lattice parameters (Å, degrees): 6.0632 8.3535 10.4168 113.64 107.71 90.00
Sites, in units of the cell vectors:
Hg1 0.0000 0.5000 0.0000
Hg2 0.6675 0.6679 0.3355
Hg3 0.6614 0.1625 0.3251
Hg4 0.3386 0.8375 0.6749
Hg5 0.3325 0.3321 0.6645
Tl1 0.0000 0.0000 0.0000
K1 0.1675 0.9171 0.3358
K2 0.5000 0.7476 0.0000
K3 0.8325 0.5811 0.6642
K4 0.1675 0.4189 0.3358
K5 0.5000 0.2524 0.0000
K6 0.8325 0.0829 0.6642

E_tot (eV per cell): -12.49
Crystal system: monoclinic
SG: C2/m
Magnetization (μB/f.u.): 0.00
ΔH_f (0 K) (eV per atom): -0.1689
Fermi-level density of states (states/eV/cell): 9.67



Np2TlCuSe4: optimized geometry, GGA-PBE.

Lattice parameters (Å, degrees): 4.1279 7.4319 14.3302 90.00 90.00 106.12
Sites, in units of the cell vectors:
Se1 0.2640 0.5280 0.3882
Se2 0.5673 0.1346 0.2500
Se3 0.0000 0.0000 0.0000
Se4 0.7360 0.4720 0.8882
Se5 0.2640 0.5280 0.1118
Se6 0.7360 0.4720 0.6118
Se7 0.0000 0.0000 0.5000
Se8 0.4327 0.8654 0.7500
Tl1 0.1112 0.2225 0.7500
Tl2 0.8888 0.7775 0.2500
Cu1 0.8384 0.6767 0.7500
Cu2 0.1616 0.3233 0.2500
Np1 0.3673 0.7347 0.9388
Np2 0.3673 0.7347 0.5612
Np3 0.6327 0.2653 0.4388
Np4 0.6327 0.2653 0.0612

E_tot (eV per cell): -106.23
Crystal system: orthorhombic
E_form (uncorrected) (meV per atom): -854
SG: Cmcm
Magnetization (μB/f.u.): 8.00
Fermi-level density of states (states/eV/cell): 42.93



ZrMo2Br: optimized geometry, GGA-PBE.

Lattice parameters (Å, degrees): 3.2562 4.3411 6.3430 53.75 90.00 90.00
Sites, in units of the cell vectors:
Zr1 0.5000 0.5000 0.5000
Mo1 0.5000 0.5000 0.0000
Mo2 0.0000 0.0000 0.0000
Br1 0.0000 0.0000 0.5000

E_tot (eV per cell): -30.12
Crystal system: monoclinic
E_form (uncorrected) (meV per atom): 441
SG: P2/m
Magnetization (μB/f.u.): 0.00
Excess energy over the best structure of this formula in the dataset (meV per atom): 326
Fermi-level density of states (states/eV/cell): 2.60



Th2Cr2N5: optimized geometry, GGA-PBE.

Lattice parameters (Å, degrees): 5.4223 5.4230 8.7827 107.66 107.66 91.00
Sites, in units of the cell vectors:
N1 0.7500 0.7500 0.5001
N2 0.8854 0.3856 0.2185
N3 0.6669 0.1671 0.7815
N4 0.1146 0.6144 0.7815
N5 0.3331 0.8329 0.2185
N6 0.6650 0.8351 0.0000
N7 0.2587 0.7587 0.5175
N8 0.2500 0.2500 0.4999
N9 0.3350 0.1649 0.0000
N10 0.7413 0.2413 0.4825
Cr1 0.3136 0.8136 0.0000
Cr2 0.0000 0.5000 0.5000
Cr3 0.5000 0.0000 0.5000
Cr4 0.6864 0.1864 0.0000
Th1 0.0985 0.1184 0.7169
Th2 0.9015 0.8816 0.2831
Th3 0.3816 0.4015 0.2831
Th4 0.6184 0.5985 0.7169

E_tot (eV per cell): -170.38
Crystal system: orthorhombic
E_form (uncorrected) (meV per atom): -1053
SG: Fmmm
Magnetization (μB/f.u.): 2.03
Fermi-level density of states (states/eV/cell): 9.30



SrLiCu17: optimized geometry, GGA-PBE.

Lattice parameters (Å, degrees): 6.4665 6.4665 6.4665 83.04 83.04 83.04
Sites, in units of the cell vectors:
Cu1 0.5006 0.9983 0.9983
Cu2 0.9072 0.9072 0.9072
Cu3 0.3404 0.8583 0.3404
Cu4 0.1549 0.6531 0.6531
Cu5 0.2937 0.7018 0.0049
Cu6 0.0049 0.7018 0.2937
Cu7 0.8583 0.3404 0.3404
Cu8 0.1019 0.1019 0.1019
Cu9 0.7018 0.0049 0.2937
Cu10 0.7018 0.2937 0.0049
Cu11 0.6531 0.6531 0.1549
Cu12 0.6531 0.1549 0.6531
Cu13 0.9983 0.5006 0.9983
Cu14 0.2937 0.0049 0.7018
Cu15 0.9983 0.9983 0.5006
Cu16 0.3404 0.3404 0.8583
Cu17 0.0049 0.2937 0.7018
Li1 0.3387 0.3387 0.3387
Sr1 0.6541 0.6541 0.6541

E_tot (eV per cell): -73.02
Crystal system: trigonal
SG: R3m
Magnetization (μB/f.u.): 0.00
ΔH_f (0 K) (eV per atom): 0.0113
Fermi-level density of states (states/eV/cell): 7.00



Ho7CdIr4: optimized geometry, GGA-PBE.

Lattice parameters (Å, degrees): 5.3508 8.4399 7.3021 76.30 68.51 71.52
Sites, in units of the cell vectors:
Ho1 0.6746 0.3785 0.2723
Ho2 0.5000 0.0000 0.0000
Ho3 0.7870 0.8742 0.5517
Ho4 0.0760 0.6359 0.2122
Ho5 0.9240 0.3641 0.7878
Ho6 0.2130 0.1258 0.4483
Ho7 0.3254 0.6215 0.7277
Ir1 0.5678 0.2194 0.6449
Ir2 0.7029 0.6597 0.9346
Ir3 0.2971 0.3403 0.0654
Ir4 0.4322 0.7806 0.3551
Cd1 0.0000 0.0000 0.0000

E_tot (eV per cell): -74.48
Crystal system: monoclinic
SG: C2/m
Magnetization (μB/f.u.): 0.00
ΔH_f (0 K) (eV per atom): -0.5062
Fermi-level density of states (states/eV/cell): 6.95



La2YScO: optimized geometry, GGA-PBE.

Lattice parameters (Å, degrees): 5.2507 5.2507 4.6721 90.00 90.00 90.00
Sites, in units of the cell vectors:
Sc1 0.5000 0.5000 0.5000
La1 0.0000 0.5000 0.0000
La2 0.5000 0.0000 0.0000
Y1 0.0000 0.0000 0.5000
O1 0.0000 0.0000 0.0000

E_tot (eV per cell): -33.32
Crystal system: tetragonal
E_form (uncorrected) (meV per atom): -1143
SG: P4/mmm
Magnetization (μB/f.u.): 0.00
Excess energy over the best structure of this formula in the dataset (meV per atom): 15
Fermi-level density of states (states/eV/cell): 6.75



Tb4CdAgRh2: optimized geometry, GGA-PBE.

Lattice parameters (Å, degrees): 5.0441 5.0441 8.7219 73.19 73.19 60.00
Sites, in units of the cell vectors:
Ag1 0.5000 0.5000 0.5000
Rh1 0.7490 0.7490 0.7529
Rh2 0.2510 0.2510 0.2471
Tb1 0.8730 0.8730 0.3810
Tb2 0.6229 0.6229 0.1314
Tb3 0.3771 0.3771 0.8686
Tb4 0.1270 0.1270 0.6190
Cd1 0.0000 0.0000 0.0000

E_tot (eV per cell): -41.30
Crystal system: trigonal
SG: R-3m
Magnetization (μB/f.u.): 0.00
ΔH_f (0 K) (eV per atom): -0.5387
Fermi-level density of states (states/eV/cell): 4.85



Tb2SmAlAu4: optimized geometry, GGA-PBE.

Lattice parameters (Å, degrees): 4.9771 4.9771 8.8342 73.64 73.64 60.00
Sites, in units of the cell vectors:
Au1 0.8782 0.8782 0.3653
Au2 0.1218 0.1218 0.6347
Au3 0.3880 0.3880 0.8360
Au4 0.6120 0.6120 0.1640
Al1 0.5000 0.5000 0.5000
Tb1 0.7587 0.7587 0.7238
Tb2 0.2413 0.2413 0.2762
Sm1 0.0000 0.0000 0.0000

E_tot (eV per cell): -36.76
Crystal system: trigonal
SG: R-3m
Magnetization (μB/f.u.): 0.00
ΔH_f (0 K) (eV per atom): -0.7415
Fermi-level density of states (states/eV/cell): 3.60



TbZrTl2: optimized geometry, GGA-PBE.

Lattice parameters (Å, degrees): 4.3070 4.8255 4.8255 90.00 90.00 90.00
Sites, in units of the cell vectors:
Tb1 0.5000 0.5000 0.5000
Tl1 0.0000 0.5000 0.0000
Tl2 0.0000 0.0000 0.5000
Zr1 0.5000 0.0000 0.0000

E_tot (eV per cell): -18.49
Crystal system: tetragonal
SG: P4/mmm
Magnetization (μB/f.u.): 0.21
ΔH_f (0 K) (eV per atom): -0.1453
Fermi-level density of states (states/eV/cell): 4.16



SrHfHg3: optimized geometry, GGA-PBE.

Lattice parameters (Å, degrees): 5.5084 5.5084 5.5084 90.00 90.00 90.00
Sites, in units of the cell vectors:
Sr1 0.5000 0.5000 0.5000
Hg1 0.5000 0.0000 0.0000
Hg2 0.0000 0.5000 0.0000
Hg3 0.0000 0.0000 0.5000
Hf1 0.0000 0.0000 0.0000

E_tot (eV per cell): -11.96
Crystal system: cubic
SG: Pm-3m
Magnetization (μB/f.u.): 1.36
ΔH_f (0 K) (eV per atom): 0.1166
Excess energy over the best structure of this formula in the dataset (meV per atom): 0
Fermi-level density of states (states/eV/cell): 9.47



CrCo2Ru: optimized geometry, GGA-PBE.

Lattice parameters (Å, degrees): 8.4492 8.4492 8.4492 17.63 17.63 17.63
Sites, in units of the cell vectors:
Co1 0.0041 0.0041 0.0041
Co2 0.7492 0.7492 0.7492
Cr1 0.4986 0.4986 0.4986
Ru1 0.2481 0.2481 0.2481

E_tot (eV per cell): -32.48
Crystal system: trigonal
SG: R3m
Magnetization (μB/f.u.): 2.99
ΔH_f (0 K) (eV per atom): 0.1580
Excess energy over the best structure of this formula in the dataset (meV per atom): 106
Fermi-level density of states (states/eV/cell): 4.83



AlInPb2Br: optimized geometry, GGA-PBE.

Lattice parameters (Å, degrees): 6.0761 6.0973 6.0761 90.00 90.00 90.00
Sites, in units of the cell vectors:
Pb1 0.0000 0.0000 0.5000
Pb2 0.5000 0.0000 0.0000
Br1 0.0000 0.5000 0.0000
Al1 0.5000 0.5000 0.5000
In1 0.0000 0.0000 0.0000

E_tot (eV per cell): -12.91
Crystal system: tetragonal
E_form (uncorrected) (meV per atom): 531
SG: P4/mmm
Magnetization (μB/f.u.): 0.00
Fermi-level density of states (states/eV/cell): 3.62



NdGa2NiRh: optimized geometry, GGA-PBE.

Lattice parameters (Å, degrees): 4.1324 4.1324 6.0303 110.04 110.04 90.00
Sites, in units of the cell vectors:
Nd1 0.0000 0.0000 0.0000
Ga1 0.6250 0.6250 0.2499
Ga2 0.3750 0.3750 0.7501
Ni1 0.2500 0.7500 0.5000
Rh1 0.7500 0.2500 0.5000

E_tot (eV per cell): -27.23
Crystal system: tetragonal
SG: I-4m2
Magnetization (μB/f.u.): 0.00
ΔH_f (0 K) (eV per atom): -0.6556
Fermi-level density of states (states/eV/cell): 3.00



CsPmI2: optimized geometry, GGA-PBE.

Lattice parameters (Å, degrees): 4.0059 4.0059 9.0869 90.00 90.00 90.00
Sites, in units of the cell vectors:
Cs1 0.5000 0.5000 0.5000
Pm1 0.5000 0.5000 0.0000
I1 0.0000 0.0000 0.2020
I2 0.0000 0.0000 0.7980

E_tot (eV per cell): -12.68
Crystal system: tetragonal
E_form (uncorrected) (meV per atom): -995
SG: P4/mmm
Magnetization (μB/f.u.): 0.00
Excess energy over the best structure of this formula in the dataset (meV per atom): 8
Fermi-level density of states (states/eV/cell): 1.70



Number 1: volume 252 Å³/cell. Number 2: volume 109 Å³/cell. Number 3: volume 141 Å³/cell. Number 4: volume 353 Å³/cell. Number 5: volume 60 Å³/cell. Number 6: volume 64 Å³/cell. Number 7: volume 361 Å³/cell. Number 8: volume 379 Å³/cell. Number 9: volume 218 Å³/cell. Number 10: volume 456 Å³/cell. Number 11: volume 422 Å³/cell. Number 12: volume 72 Å³/cell. Number 13: volume 233 Å³/cell. Number 14: volume 265 Å³/cell. Number 15: volume 288 Å³/cell. Number 16: volume 129 Å³/cell. Number 17: volume 181 Å³/cell. Number 18: volume 179 Å³/cell. Number 19: volume 100 Å³/cell. Number 20: volume 167 Å³/cell. Number 21: volume 48 Å³/cell. Number 22: volume 225 Å³/cell. Number 23: volume 90 Å³/cell. Number 24: volume 146 Å³/cell.